A relaxed BaSrTl4 crystal. Source: Alexandria via LeMat-Bulk, functional PBE.

Summary:
SG = P2/m (10)
N(E_F) = 4.3 states/eV/cell
ΔH_f (0 K) = -0.163 eV per atom

Cell and atoms, written as POSCAR:
```
BaSrTl4
1.0
6.523 0.000 0.000
0.000 3.940 0.000
-2.129 0.000 8.697
Ba Sr Tl
1 1 4
Cartesian
0.000 0.000 0.000
2.197 1.970 4.348
-1.169 1.970 5.866
1.214 0.000 7.107
3.181 0.000 1.590
5.563 1.970 2.831
```


A relaxed CsYMn3 crystal. Source: Alexandria via LeMat-Bulk, functional PBE.

Summary:
SG = Pm-3m (221)
N(E_F) = 5.0 states/eV/cell
ΔH_f (0 K) = 1.347 eV per atom

Cell and atoms, written as POSCAR:
```
CsYMn3
1.0
5.632 0.000 0.000
0.000 5.632 0.000
0.000 0.000 5.632
Cs Y Mn
1 1 3
Cartesian
0.000 0.000 0.000
2.816 2.816 2.816
0.000 2.816 2.816
2.816 0.000 2.816
2.816 2.816 0.000
```


A relaxed Er2Ga6CoRu crystal. Source: Alexandria via LeMat-Bulk, functional PBE.

Summary:
SG = Fm-3m (225)
N(E_F) = 5.1 states/eV/cell
ΔH_f (0 K) = -0.260 eV per atom

Cell and atoms, written as POSCAR:
```
Er2Ga6CoRu
1.0
0.000 4.615 4.615
4.615 0.000 4.615
4.615 4.615 0.000
Er Ga Co Ru
2 6 1 1
Cartesian
2.307 2.307 2.307
6.922 6.922 6.922
4.615 4.615 2.238
4.615 2.238 4.615
6.991 4.615 4.615
2.238 4.615 4.615
4.615 6.991 4.615
4.615 4.615 6.991
0.000 0.000 0.000
4.615 4.615 4.615
```


A relaxed PmDy2Ru crystal. Source: Alexandria via LeMat-Bulk, functional PBE.

Summary:
SG = Cmcm (63)
N(E_F) = 6.9 states/eV/cell
ΔH_f (0 K) = -0.271 eV per atom

Cell and atoms, written as POSCAR:
```
PmDy2Ru
1.0
1.958 -6.062 0.000
1.958 6.062 0.000
0.000 0.000 9.197
Pm Dy Ru
2 4 2
Cartesian
1.958 5.150 6.898
1.958 -5.150 2.299
1.958 1.756 5.235
1.958 1.756 8.561
1.958 -1.756 0.636
1.958 -1.756 3.962
1.958 2.969 2.299
1.958 -2.969 6.898
```


A relaxed Rb3HfSb2O9 crystal. Source: Alexandria via LeMat-Bulk, functional PBE.

Summary:
SG = P-3m1 (164)
N(E_F) = 8.8 states/eV/cell

Cell and atoms, written as POSCAR:
```
Rb3HfSb2O9
1.0
5.824 0.000 0.000
-2.912 5.044 0.000
0.000 0.000 7.134
Rb Hf Sb O
3 1 2 9
Cartesian
0.000 0.000 0.000
0.000 3.363 4.759
2.912 1.681 2.375
0.000 0.000 3.567
0.000 3.363 1.204
2.912 1.681 5.929
-1.456 2.522 0.000
0.000 1.712 2.344
-1.430 4.188 2.344
1.482 0.856 4.790
2.912 0.000 0.000
1.456 2.522 0.000
1.430 4.188 2.344
4.342 0.856 4.790
2.912 3.332 4.790
```


Number 1: uncorrected energy -2.34 eV per atom. Number 2: uncorrected energy -5.62 eV per atom. Number 3: uncorrected energy -4.63 eV per atom. Number 4: uncorrected energy -6.08 eV per atom. Number 5: uncorrected energy -6.18 eV per atom.